Here is a relaxed structure of FeRe2Ni from the Alexandria database. Energies are from PBE-GGA.

The value obtained for the formation energy from the elements is 0.19 eV per atom. The crystal system is cubic.

Unit cell a=4.235 b=4.235 c=4.235 alpha=60.00 beta=60.00 gamma=60.00
Each line ends with the local moment (μB).
Sites, in units of the cell vectors:
Fe1 0.500 0.500 0.500  2.24
Ni1 0.750 0.750 0.750  -0.01
Re1 0.000 0.000 0.000  -0.15
Re2 0.250 0.250 0.250  0.04

=====

Here is a relaxed structure of FeReNi2 from the Alexandria database. Energies are from PBE-GGA.

The value obtained for the formation energy from the elements is 1.51 eV per atom. The crystal system is tetragonal.

Unit cell a=5.156 b=5.156 c=6.197 alpha=65.41 beta=65.41 gamma=90.00
Sites, in units of the cell vectors:
Re1 0.000 0.000 0.000
Re2 0.750 0.250 0.500
Fe1 0.500 0.500 0.000
Fe2 0.250 0.750 0.500
Ni1 0.603 0.125 0.250
Ni2 0.147 0.625 0.250
Ni3 0.375 0.397 0.750
Ni4 0.875 0.853 0.750

=====

Here is a relaxed structure of FeRe2Ni from the Alexandria database. Energies are from PBE-GGA.

The value obtained for the formation energy from the elements is 0.08 eV per atom. The crystal system is orthorhombic.

Unit cell a=4.564 b=4.564 c=2.628 alpha=90.00 beta=90.00 gamma=109.69
Each line ends with the local moment (μB).
Sites, in units of the cell vectors:
Fe1 0.500 0.000 0.500  0.92
Ni1 0.000 0.500 0.500  0.09
Re1 0.000 0.000 0.000  -0.01
Re2 0.500 0.500 0.000  -0.01

=====

Here is a relaxed structure of FeRe2Ni from the Alexandria database. Energies are from PBE-GGA.

The value obtained for the formation energy from the elements is 0.09 eV per atom. The crystal system is tetragonal.

Unit cell a=3.096 b=3.096 c=5.489 alpha=90.00 beta=90.00 gamma=90.00
Each line ends with the local moment (μB).
Sites, in units of the cell vectors:
Fe1 0.000 0.000 0.530  2.15
Ni1 0.500 0.500 0.728  0.17
Re1 0.000 0.000 0.985  -0.10
Re2 0.500 0.500 0.257  -0.06

=====

Here is a relaxed structure of FeRe3Ni from the Alexandria database. Energies are from PBE-GGA.

The value obtained for the formation energy from the elements is 2.01 eV per atom. The crystal system is cubic.

Unit cell a=4.354 b=4.354 c=4.354 alpha=90.00 beta=90.00 gamma=90.00
Sites, in units of the cell vectors:
Re1 0.000 0.500 0.000
Re2 0.000 0.000 0.500
Re3 0.500 0.000 0.000
Fe1 0.500 0.500 0.500
Ni1 0.000 0.000 0.000

=====

Here is a relaxed structure of FeReNi2 from the Alexandria database. Energies are from PBE-GGA.

The value obtained for the formation energy from the elements is 0.02 eV per atom. The crystal system is tetragonal.

Unit cell a=4.405 b=4.405 c=4.405 alpha=131.36 beta=131.36 gamma=71.24
Each line ends with the local moment (μB).
Sites, in units of the cell vectors:
Fe1 0.750 0.250 0.500  1.41
Ni1 0.000 0.000 0.000  -0.01
Ni2 0.250 0.750 0.500  -0.10
Re1 0.500 0.500 0.000  -0.33

=====

Here is a relaxed structure of FeReNi2 from the Alexandria database. Energies are from PBE-GGA.

The value obtained for the formation energy from the elements is 0.17 eV per atom. The crystal system is tetragonal.

Unit cell a=2.976 b=2.976 c=5.459 alpha=90.00 beta=90.00 gamma=90.00
Each line ends with the local moment (μB).
Sites, in units of the cell vectors:
Fe1 0.500 0.500 0.750  2.52
Ni1 0.000 0.000 0.976  0.21
Ni2 0.000 0.000 0.524  0.21
Re1 0.500 0.500 0.250  -0.22

=====

Here is a relaxed structure of FeRe2Ni from the Alexandria database. Energies are from PBE-GGA.

The value obtained for the formation energy from the elements is 0.08 eV per atom. The crystal system is tetragonal.

Unit cell a=4.563 b=4.563 c=4.563 alpha=131.70 beta=131.70 gamma=70.70
Each line ends with the local moment (μB).
Sites, in units of the cell vectors:
Fe1 0.250 0.750 0.500  1.47
Ni1 0.750 0.250 0.500  0.05
Re1 0.000 0.000 0.000  -0.01
Re2 0.500 0.500 0.000  -0.01

=====

Here is a relaxed structure of FeReNi2 from the Alexandria database. Energies are from PBE-GGA.

The value obtained for the formation energy from the elements is 0.62 eV per atom. The crystal system is orthorhombic.

Unit cell a=2.520 b=4.352 c=5.422 alpha=113.66 beta=103.44 gamma=90.00
Each line ends with the local moment (μB).
Sites, in units of the cell vectors:
Fe1 0.000 0.000 0.000  1.95
Re1 0.500 0.500 0.000  -0.24
Ni1 0.752 0.752 0.504  -0.05
Ni2 0.248 0.248 0.496  -0.05

=====

Here is a relaxed structure of FeRe3Ni from the Alexandria database. Energies are from PBE-GGA.

The value obtained for the formation energy from the elements is 1.68 eV per atom. The crystal system is cubic.

Unit cell a=4.364 b=4.364 c=4.364 alpha=90.00 beta=90.00 gamma=90.00
Sites, in units of the cell vectors:
Re1 0.000 0.500 0.000
Re2 0.000 0.000 0.500
Re3 0.500 0.000 0.000
Fe1 0.000 0.000 0.000
Ni1 0.500 0.500 0.500

=====

Here is a relaxed structure of FeRe2Ni from the Alexandria database. Energies are from PBE-GGA.

The value obtained for the formation energy from the elements is 0.07 eV per atom. The crystal system is tetragonal.

Unit cell a=2.620 b=2.620 c=7.507 alpha=90.00 beta=90.00 gamma=90.03
Each line ends with the local moment (μB).
Sites, in units of the cell vectors:
Fe1 0.500 0.500 0.250  0.70
Ni1 0.500 0.500 0.750  0.17
Re1 0.000 0.000 0.005  -0.01
Re2 0.000 0.000 0.495  -0.01

=====

Here is a relaxed structure of FeReNi3 from the Alexandria database. Energies are from PBE-GGA.

The value obtained for the formation energy from the elements is 0.10 eV per atom. The crystal system is monoclinic.

Unit cell a=4.491 b=4.656 c=6.469 alpha=111.09 beta=74.54 gamma=90.00
Each line ends with the local moment (μB).
Sites, in units of the cell vectors:
Fe1 0.795 0.443 0.886  2.83
Fe2 0.205 0.557 0.114  2.83
Re1 0.903 0.797 0.594  0.04
Re2 0.097 0.203 0.406  0.04
Ni1 0.640 0.897 0.303  0.30
Ni2 0.640 0.405 0.303  0.30
Ni3 0.360 0.595 0.697  0.30
Ni4 0.360 0.103 0.697  0.30
Ni5 0.000 0.000 0.000  0.50
Ni6 0.500 0.000 0.000  0.42

=====

Here is a relaxed structure of FeRe2Ni from the Alexandria database. Energies are from PBE-GGA.

The value obtained for the formation energy from the elements is 0.08 eV per atom. The crystal system is monoclinic.

Unit cell a=4.530 b=4.530 c=4.561 alpha=81.04 beta=81.04 gamma=34.01
Sites, in units of the cell vectors:
Fe1 0.503 0.503 0.496
Ni1 0.751 0.751 0.751
Re1 0.002 0.002 0.981
Re2 0.244 0.244 0.272

=====

Here is a relaxed structure of FeRe2Ni from the Alexandria database. Energies are from PBE-GGA.

The value obtained for the formation energy from the elements is 0.14 eV per atom. The crystal system is trigonal.

Unit cell a=8.636 b=8.636 c=8.636 alpha=17.84 beta=17.84 gamma=17.84
Each line ends with the local moment (μB).
Sites, in units of the cell vectors:
Fe1 0.250 0.250 0.250  1.35
Ni1 0.750 0.750 0.750  -0.10
Re1 0.999 0.999 0.999  -0.11
Re2 0.501 0.501 0.501  -0.11

=====

Here is a relaxed structure of FeReNi2 from the Alexandria database. Energies are from PBE-GGA.

The value obtained for the formation energy from the elements is 0.05 eV per atom. The crystal system is tetragonal.

Unit cell a=4.520 b=4.520 c=4.520 alpha=133.74 beta=133.72 gamma=67.51
Each line ends with the local moment (μB).
Sites, in units of the cell vectors:
Fe1 0.250 0.750 0.500  1.75
Ni1 0.000 0.000 0.000  -0.06
Ni2 0.500 0.500 0.000  -0.06
Re1 0.750 0.250 0.500  -0.28

=====

Here is a relaxed structure of FeReNi2 from the Alexandria database. Energies are from PBE-GGA.

The value obtained for the formation energy from the elements is 0.01 eV per atom. The crystal system is orthorhombic.

Unit cell a=4.166 b=2.552 c=4.540 alpha=90.00 beta=90.00 gamma=90.00
Each line ends with the local moment (μB).
Sites, in units of the cell vectors:
Re1 0.000 0.625 0.467  -0.13
Fe1 0.500 0.625 0.787  2.26
Ni1 0.000 0.125 0.969  0.31
Ni2 0.500 0.125 0.277  0.24

=====

Here is a relaxed structure of FeReNi2 from the Alexandria database. Energies are from PBE-GGA.

The value obtained for the formation energy from the elements is 0.03 eV per atom. The crystal system is orthorhombic.

Unit cell a=2.553 b=3.746 c=5.080 alpha=90.00 beta=90.00 gamma=90.00
Each line ends with the local moment (μB).
Sites, in units of the cell vectors:
Fe1 0.500 0.500 0.750  2.54
Ni1 0.000 0.000 0.998  0.28
Ni2 0.000 0.000 0.502  0.28
Re1 0.500 0.500 0.250  0.02

=====

Here is a relaxed structure of Fe4ReNi from the Alexandria database. Energies are from PBE-GGA.

The value obtained for the formation energy from the elements is 0.10 eV per atom. The crystal system is cubic.

Unit cell a=4.632 b=4.632 c=4.632 alpha=60.00 beta=60.00 gamma=60.00
Each line ends with the local moment (μB).
Sites, in units of the cell vectors:
Fe1 0.873 0.376 0.376  1.71
Fe2 0.376 0.376 0.873  1.71
Fe3 0.376 0.873 0.376  1.71
Fe4 0.376 0.376 0.376  1.71
Re1 0.000 0.000 0.000  -0.57
Ni1 0.750 0.750 0.750  0.32

=====

Here is a relaxed structure of FeReNi14 from the Alexandria database. Energies are from PBE-GGA.

The value obtained for the formation energy from the elements is 0.00 eV per atom. The crystal system is tetragonal.

Unit cell a=5.034 b=5.034 c=7.052 alpha=90.00 beta=90.00 gamma=90.00
Each line ends with the local moment (μB).
Sites, in units of the cell vectors:
Fe1 0.875 0.875 0.500  3.02
Re1 0.375 0.375 0.500  0.02
Ni1 0.875 0.875 0.000  0.46
Ni2 0.375 0.375 0.000  0.67
Ni3 0.875 0.375 0.500  0.30
Ni4 0.875 0.375 0.000  0.56
Ni5 0.375 0.875 0.500  0.30
Ni6 0.375 0.875 0.000  0.56
Ni7 0.625 0.125 0.248  0.41
Ni8 0.625 0.125 0.752  0.41
Ni9 0.125 0.625 0.248  0.41
Ni10 0.125 0.625 0.752  0.41
Ni11 0.625 0.625 0.249  0.41
Ni12 0.625 0.625 0.751  0.41
Ni13 0.125 0.125 0.249  0.41
Ni14 0.125 0.125 0.751  0.41

=====

Here is a relaxed structure of FeReNi2 from the Alexandria database. Energies are from PBE-GGA.

The value obtained for the formation energy from the elements is 0.07 eV per atom. The crystal system is monoclinic.

Unit cell a=4.467 b=4.467 c=4.425 alpha=80.50 beta=80.50 gamma=33.69
Each line ends with the local moment (μB).
Sites, in units of the cell vectors:
Fe1 0.250 0.250 0.250  1.99
Ni1 0.999 0.999 0.002  0.16
Ni2 0.501 0.501 0.498  0.16
Re1 0.750 0.750 0.750  -0.16

=====

Here is a relaxed structure of FeRe2Ni from the Alexandria database. Energies are from PBE-GGA.

The value obtained for the formation energy from the elements is 0.12 eV per atom. The crystal system is monoclinic.

Unit cell a=4.553 b=4.553 c=4.635 alpha=80.11 beta=80.11 gamma=34.27
Each line ends with the local moment (μB).
Sites, in units of the cell vectors:
Fe1 0.250 0.250 0.250  2.03
Ni1 0.750 0.750 0.750  0.16
Re1 0.000 0.000 0.000  -0.04
Re2 0.500 0.500 0.500  -0.04

=====

Here is a relaxed structure of FeReNi2 from the Alexandria database. Energies are from PBE-GGA.

The value obtained for the formation energy from the elements is 0.32 eV per atom. The crystal system is cubic.

Unit cell a=4.061 b=4.061 c=4.061 alpha=60.00 beta=60.00 gamma=60.00
Sites, in units of the cell vectors:
Re1 0.500 0.500 0.500
Fe1 0.000 0.000 0.000
Ni1 0.250 0.250 0.250
Ni2 0.750 0.750 0.750

=====

Here is a relaxed structure of FeReNi6 from the Alexandria database. Energies are from PBE-GGA.

The value obtained for the formation energy from the elements is 0.01 eV per atom. The crystal system is orthorhombic.

Unit cell a=3.541 b=5.076 c=5.076 alpha=89.32 beta=90.00 gamma=90.00
Each line ends with the local moment (μB).
Sites, in units of the cell vectors:
Fe1 0.000 0.122 0.878  2.23
Re1 0.500 0.375 0.625  -0.38
Ni1 0.000 0.625 0.874  0.07
Ni2 0.000 0.126 0.375  0.07
Ni3 0.000 0.626 0.374  -0.14
Ni4 0.500 0.875 0.626  0.10
Ni5 0.500 0.374 0.125  0.10
Ni6 0.500 0.877 0.123  0.48

=====

Here is a relaxed structure of FeRe2Ni from the Alexandria database. Energies are from PBE-GGA.

The value obtained for the formation energy from the elements is 0.70 eV per atom. The crystal system is tetragonal.

Unit cell a=6.648 b=6.648 c=5.347 alpha=51.56 beta=51.56 gamma=90.00
Sites, in units of the cell vectors:
Re1 0.595 0.125 0.250
Re2 0.155 0.625 0.250
Re3 0.375 0.405 0.750
Re4 0.875 0.845 0.750
Fe1 0.500 0.500 0.000
Fe2 0.250 0.750 0.500
Ni1 0.000 0.000 0.000
Ni2 0.750 0.250 0.500

=====

Here is a relaxed structure of FeReNi3 from the Alexandria database. Energies are from PBE-GGA.

The value obtained for the formation energy from the elements is 1.43 eV per atom. The crystal system is cubic.

Unit cell a=4.185 b=4.185 c=4.185 alpha=90.00 beta=90.00 gamma=90.00
Each line ends with the local moment (μB).
Sites, in units of the cell vectors:
Re1 0.500 0.500 0.500  2.10
Fe1 0.000 0.000 0.000  2.53
Ni1 0.000 0.500 0.000  0.72
Ni2 0.000 0.000 0.500  0.83
Ni3 0.500 0.000 0.000  0.67

=====

Here is a relaxed structure of FeReNi2 from the Alexandria database. Energies are from PBE-GGA.

The value obtained for the formation energy from the elements is 0.12 eV per atom. The crystal system is tetragonal.

Unit cell a=3.530 b=3.528 c=3.758 alpha=90.00 beta=90.00 gamma=90.00
Sites, in units of the cell vectors:
Fe1 0.000 0.500 0.500
Ni1 0.000 0.000 0.000
Ni2 0.500 0.500 0.000
Re1 0.500 0.000 0.500

=====

Here is a relaxed structure of FeRe2Ni from the Alexandria database. Energies are from PBE-GGA.

The value obtained for the formation energy from the elements is 0.15 eV per atom. The crystal system is trigonal.

Unit cell a=8.666 b=8.666 c=8.666 alpha=18.03 beta=18.03 gamma=18.03
Each line ends with the local moment (μB).
Sites, in units of the cell vectors:
Fe1 0.496 0.496 0.496  2.60
Ni1 0.753 0.753 0.753  0.55
Re1 0.002 0.002 0.002  0.06
Re2 0.249 0.249 0.249  -0.04

=====

Here is a relaxed structure of FeReNi2 from the Alexandria database. Energies are from PBE-GGA.

The value obtained for the formation energy from the elements is 0.03 eV per atom. The crystal system is monoclinic.

Unit cell a=4.423 b=4.423 c=4.520 alpha=81.64 beta=81.64 gamma=33.58
Each line ends with the local moment (μB).
Sites, in units of the cell vectors:
Fe1 0.254 0.254 0.241  2.24
Ni1 0.999 0.999 0.001  0.18
Ni2 0.749 0.749 0.752  0.15
Re1 0.498 0.498 0.506  -0.11

=====

Here is a relaxed structure of FeReNi2 from the Alexandria database. Energies are from PBE-GGA.

The value obtained for the formation energy from the elements is 0.02 eV per atom. The crystal system is tetragonal.

Unit cell a=2.582 b=2.582 c=7.339 alpha=90.00 beta=90.00 gamma=90.00
Each line ends with the local moment (μB).
Sites, in units of the cell vectors:
Fe1 0.500 0.500 0.750  2.79
Ni1 0.000 0.000 0.991  0.39
Ni2 0.000 0.000 0.509  0.39
Re1 0.500 0.500 0.250  0.01

=====

| no. | spin magnetization (μB/f.u.) | total energy (eV/atom) |
| --- | --- | --- |
| 1 | 2.1 | -9.595 |
| 2 | 0.0 | -6.609 |
| 3 | 1.0 | -9.708 |
| 4 | 2.1 | -9.697 |
| 5 | 0.0 | -8.303 |
| 6 | 0.9 | -8.098 |
| 7 | 2.7 | -7.943 |
| 8 | 1.5 | -9.709 |
| 9 | 1.6 | -7.500 |
| 10 | 0.0 | -8.637 |
| 11 | 0.8 | -9.711 |
| 12 | 3.9 | -7.547 |
| 13 | 0.0 | -9.705 |
| 14 | 1.0 | -9.647 |
| 15 | 1.3 | -8.068 |
| 16 | 2.6 | -8.110 |
| 17 | 3.1 | -8.085 |
| 18 | 6.5 | -8.580 |
| 19 | 8.8 | -6.370 |
| 20 | 2.1 | -8.052 |
| 21 | 2.1 | -9.667 |
| 22 | 0.0 | -7.798 |
| 23 | 2.4 | -6.941 |
| 24 | 0.0 | -9.083 |
| 25 | 7.1 | -6.222 |
| 26 | 0.0 | -8.000 |
| 27 | 3.1 | -9.637 |
| 28 | 2.4 | -8.090 |
| 29 | 3.5 | -8.102 |